# Ba3InGa2Au6

Crystalline Ba3InGa2Au6 at its relaxed geometry (GGA-PBE, the Alexandria database).

Lattice parameters (Å, degrees): 6.8786 6.8786 8.5172 90.00 90.00 120.00
Last column: nearest neighbours and their distance in Å.
Positions (direct):
Au1 0.8119 0.1881 0.7019  1 Ga 2.64, 1 In 2.82
Au2 0.3762 0.1881 0.7019  1 Ga 2.64, 1 In 2.82
Au3 0.1881 0.8119 0.2981  1 Ga 2.64, 1 In 2.82
Ga1 0.6667 0.3333 0.9368  3 Au 2.64
Au4 0.8119 0.6238 0.7019  1 Ga 2.64, 1 In 2.82
Ba1 0.0000 0.0000 0.0000  6 Au 3.39
Au5 0.6238 0.8119 0.2981  1 Ga 2.64, 1 In 2.82
Ga2 0.3333 0.6667 0.0632  3 Au 2.64
Ba2 0.6667 0.3333 0.3438  1 Ga 3.47, 9 Au 3.47-3.51
In1 0.0000 0.0000 0.5000  6 Au 2.82
Ba3 0.3333 0.6667 0.6562  1 Ga 3.47, 9 Au 3.47-3.51
Au6 0.1881 0.3762 0.2981  1 Ga 2.64, 1 In 2.82

Computed properties:
Density ... 8.8 Mg/m³
Symmetry ... P-3m1, No. 164
Crystal system ... trigonal
Spin magnetization ... 0.00 μB/atom
Energy relative to the elements ... -499 meV per atom
Total energy ... -40.22 eV/cell